## ErPuSbPd (GGA-PBE)

Data for ErPuSbPd after structural relaxation.

Output
Uncorrected formation energy   -0.617 eV/atom

Lattice parameters (Å, degrees): 5.157 5.157 5.157 60.00 60.00 60.00
Site moments in Bohr magnetons follow the coordinates.
Atoms (fractional coordinates):
Pu: 0.750 0.750 0.750  5.48
Er: 0.250 0.250 0.250  0.29
Sb: 0.500 0.500 0.500  -0.03
Pd: 0.000 0.000 0.000  0.00

***

## YHg2TeSe (GGA-PBE)

Data for YHg2TeSe after structural relaxation.

Output
Offset from the most stable computed form   0.0 meV per atom
Uncorrected formation energy   -0.227 eV/atom

Lattice parameters (Å, degrees): 5.340 5.523 5.340 90.00 90.00 90.00
Atoms (fractional coordinates):
Y: 0.000 0.500 0.000
Hg: 0.500 0.000 0.000
Se: 0.000 0.000 0.000
Hg: 0.000 0.000 0.500
Te: 0.500 0.500 0.500

***

## Be2NiIr (GGA-PBE)

Data for Be2NiIr after structural relaxation.

Output
Offset from the most stable computed form   646.3 meV per atom
DFT formation energy   70 meV per atom

Lattice parameters (Å, degrees): 2.565 2.565 7.700 90.00 90.00 116.61
Atoms (fractional coordinates):
Ni: 0.500 0.500 0.778
Ir: 0.000 0.000 0.483
Be: 0.500 0.500 0.240
Be: 0.000 0.000 0.999

***

## PrNi2Sn (GGA-PBE)

Data for PrNi2Sn after structural relaxation.

Output
DFT formation energy   -439 meV per atom

Lattice parameters (Å, degrees): 4.408 4.408 5.384 65.84 65.84 60.00
Atoms (fractional coordinates):
Sn: 0.500 0.500 0.500
Ni: 0.799 0.799 0.602
Pr: 0.000 0.000 0.000
Ni: 0.201 0.201 0.398

***

## TbGdAs (GGA-PBE)

Data for TbGdAs after structural relaxation.

Output
DFT formation energy   -882 meV per atom

Lattice parameters (Å, degrees): 3.976 3.976 6.511 90.00 90.00 120.00
Site moments in Bohr magnetons follow the coordinates.
Atoms (fractional coordinates):
Tb: 0.000 0.000 0.071  0.27
As: 0.667 0.333 0.333  -0.02
Gd: 0.333 0.667 0.596  7.25

***

## AcNd5SmHo2 (GGA-PBE)

Data for AcNd5SmHo2 after structural relaxation.

Output
DFT formation energy   143 meV per atom

Lattice parameters (Å, degrees): 5.611 12.521 9.542 90.00 90.00 102.95
Atoms (fractional coordinates):
Nd: 0.395 0.790 0.032
Nd: 0.476 0.951 0.753
Ho: 0.888 0.776 0.787
Nd: 0.008 0.016 0.533
Ho: 0.173 0.345 0.673
Ho: 0.112 0.224 0.287
Nd: 0.605 0.210 0.532
Nd: 0.311 0.621 0.725
Ac: 0.602 0.205 0.926
Ho: 0.827 0.655 0.173
Nd: 0.259 0.518 0.359
Nd: 0.689 0.379 0.225
Sm: 0.764 0.528 0.535
Nd: 0.524 0.049 0.253
Nd: 0.992 0.984 0.033
Ac: 0.398 0.795 0.426
Sm: 0.236 0.472 0.035
Nd: 0.741 0.482 0.859